# 1
The following is a PBE-GGA calculation of a geometry-optimized Dy2AgSe structure, from Alexandria via LeMat-Bulk.

Calculated values
Its relative energy among the computed polymorphs is 0.583 eV/atom. As for the space group: R-3m. The value obtained for the density is 7.437 Mg/m³. The magnetic moment comes out at 0.000 μB per formula unit. The formation energy from raw total energies comes out at -448 meV per atom. The calculation puts the density of states at the Fermi level at 2.481 states/eV/f.u.

a = 3.7160 Å, b = 3.7160 Å, c = 9.7936 Å
α = 79.06°, β = 79.06°, γ = 60.00°
Closest atoms and distances in Å follow each position.
Positions (direct):
1 Ag 0.0000 0.0000 0.0000  2 Dy 2.96
2 Dy 0.1031 0.1031 0.6906  3 Se 2.81, 1 Ag 2.96
3 Dy 0.8969 0.8969 0.3094  3 Se 2.81, 1 Ag 2.96
4 Se 0.5000 0.5000 0.5000  6 Dy 2.81

=====

# 2
The following is a PBE-GGA calculation of a geometry-optimized DyAgSe2 structure, from Alexandria via LeMat-Bulk.

Calculated values
As for the space group: R3m. The value obtained for the density is 7.304 Mg/m³. The magnetic moment comes out at 0.000 μB per formula unit. The formation energy from raw total energies comes out at -1076 meV per atom.

a = 4.0200 Å, b = 4.0200 Å, c = 7.3342 Å
α = 74.09°, β = 74.09°, γ = 60.00°
Closest atoms and distances in Å follow each position.
Positions (direct):
1 Se 0.0829 0.0829 0.7514  3 Ag 2.89, 3 Dy 2.91
2 Se 0.2501 0.2501 0.2498  3 Dy 2.90, 3 Ag 2.90
3 Ag 0.6667 0.6667 0.9999  6 Se 2.89-2.90
4 Dy 0.5004 0.5004 0.4989  6 Se 2.90-2.91

=====

# 3
The following is a PBE-GGA calculation of a geometry-optimized Dy2AgSe structure, from Alexandria via LeMat-Bulk.

Calculated values
Its relative energy among the computed polymorphs is 0.165 eV/atom. As for the space group: R3m. The value obtained for the density is 8.253 Mg/m³. The magnetic moment comes out at 0.000 μB per formula unit. The formation energy from raw total energies comes out at -867 meV per atom. The calculation puts the density of states at the Fermi level at 3.038 states/eV/f.u.

a = 3.9311 Å, b = 3.9311 Å, c = 8.0223 Å
α = 75.82°, β = 75.82°, γ = 60.00°
Closest atoms and distances in Å follow each position.
Positions (direct):
1 Dy 0.0839 0.0839 0.7484  3 Se 2.95, 3 Ag 2.97
2 Dy 0.2498 0.2498 0.2507  3 Se 2.99, 3 Ag 2.99
3 Se 0.4987 0.4987 0.5040  6 Dy 2.95-2.99
4 Ag 0.6677 0.6677 0.9969  6 Dy 2.97-2.99

=====

# 4
The following is a PBE-GGA calculation of a geometry-optimized Dy2AgSe4 structure, from Alexandria via LeMat-Bulk.

Calculated values
As for the space group: P2_1/m. The value obtained for the density is 7.249 Mg/m³. The magnetic moment comes out at 0.000 μB per formula unit. The formation energy from raw total energies comes out at -1246 meV per atom. The calculation puts the density of states at the Fermi level at 0.610 states/eV/f.u.

a = 6.9404 Å, b = 5.6522 Å, c = 8.8601 Å
α = 90.00°, β = 99.30°, γ = 90.00°
Closest atoms and distances in Å follow each position.
Positions (direct):
1 Ag 0.3599 0.7500 0.0534  3 Se 2.61-2.71
2 Se 0.0965 0.7500 0.4122  4 Dy 2.71-2.99
3 Se 0.0228 0.7500 0.8740  1 Ag 2.61, 1 Dy 2.88
4 Se 0.4493 0.5069 0.7110  1 Ag 2.71, 2 Se 2.75-2.90, 3 Dy 2.95-3.02
5 Dy 0.1565 0.2500 0.8552  6 Se 2.71-2.99
6 Dy 0.2392 0.2500 0.4349  8 Se 2.88-3.03
7 Se 0.4493 0.9931 0.7110  1 Ag 2.71, 2 Se 2.75-2.90, 3 Dy 2.95-3.02
8 Se 0.9035 0.2500 0.5878  4 Dy 2.71-2.99
9 Se 0.9772 0.2500 0.1260  1 Ag 2.61, 1 Dy 2.88
10 Dy 0.8435 0.7500 0.1448  6 Se 2.71-2.99
11 Se 0.5507 0.4931 0.2890  1 Ag 2.71, 2 Se 2.75-2.90, 3 Dy 2.95-3.02
12 Ag 0.6401 0.2500 0.9466  3 Se 2.61-2.71
13 Se 0.5507 0.0069 0.2890  1 Ag 2.71, 2 Se 2.75-2.90, 3 Dy 2.95-3.02
14 Dy 0.7608 0.7500 0.5651  8 Se 2.88-3.03

=====

# 5
The following is a PBE-GGA calculation of a geometry-optimized DyAgSe2 structure, from Alexandria via LeMat-Bulk.

Calculated values
As for the space group: R-3m. The value obtained for the density is 5.704 Mg/m³. The magnetic moment comes out at 0.000 μB per formula unit. The formation energy from raw total energies comes out at -1161 meV per atom. The calculation puts the density of states at the Fermi level at 0.000 states/eV/f.u.

a = 4.2503 Å, b = 4.2503 Å, c = 8.3382 Å
α = 75.23°, β = 75.23°, γ = 60.00°
Closest atoms and distances in Å follow each position.
Positions (direct):
1 Ag 0.0000 0.0000 0.0000  2 Se 2.48
2 Se 0.1039 0.1039 0.6883  1 Ag 2.48
3 Se 0.8961 0.8961 0.3117  1 Ag 2.48
4 Dy 0.5000 0.5000 0.5000  6 Se 2.88

=====

# 6
The following is a PBE-GGA calculation of a geometry-optimized Dy6AgSe5 structure, from Alexandria via LeMat-Bulk.

Calculated values
As for the space group: C2/m. The value obtained for the density is 8.402 Mg/m³. The magnetic moment comes out at 0.000 μB per formula unit. The formation energy from raw total energies comes out at -1508 meV per atom. The calculation puts the density of states at the Fermi level at 4.923 states/eV/f.u.

a = 7.1092 Å, b = 7.1092 Å, c = 7.0919 Å
α = 99.65°, β = 99.65°, γ = 120.11°
Closest atoms and distances in Å follow each position.
Positions (direct):
1 Se 0.6652 0.3348 0.0000  6 Dy 2.89-2.90
2 Dy 0.0815 0.4184 0.2492  5 Se 2.87-2.92, 1 Ag 2.91
3 Dy 0.7487 0.7487 0.2515  5 Se 2.88-2.91, 1 Ag 2.92
4 Se 0.1685 0.8315 0.5000  6 Dy 2.87-2.91
5 Dy 0.4184 0.0815 0.2492  5 Se 2.87-2.92, 1 Ag 2.91
6 Ag 0.0000 0.0000 0.0000  6 Dy 2.91-2.92
7 Se 0.5000 0.5000 0.5000  6 Dy 2.88-2.92
8 Dy 0.5816 0.9185 0.7508  5 Se 2.87-2.92, 1 Ag 2.91
9 Dy 0.9185 0.5816 0.7508  5 Se 2.87-2.92, 1 Ag 2.91
10 Se 0.3348 0.6652 0.0000  6 Dy 2.89-2.90
11 Dy 0.2513 0.2513 0.7485  5 Se 2.88-2.91, 1 Ag 2.92
12 Se 0.8315 0.1685 0.5000  6 Dy 2.87-2.91

=====

# 7
The following is a PBE-GGA calculation of a geometry-optimized SmDyAg2Se4 structure, from Alexandria via LeMat-Bulk.

Calculated values
As for the space group: P2/m. The value obtained for the density is 7.058 Mg/m³. The magnetic moment comes out at 0.000 μB per formula unit. The formation energy from raw total energies comes out at -1162 meV per atom. The calculation puts the density of states at the Fermi level at 0.000 states/eV/f.u.

a = 4.2234 Å, b = 6.8679 Å, c = 7.3072 Å
α = 69.61°, β = 90.00°, γ = 90.00°
Closest atoms and distances in Å follow each position.
Positions (direct):
1 Se 0.5000 0.2507 0.7527  1 Dy 2.89, 3 Ag 2.92-2.93, 2 Sm 2.93
2 Ag 0.0000 0.0000 0.0000  6 Se 2.88-2.92
3 Dy 0.5000 0.5000 0.0000  6 Se 2.89-2.90
4 Sm 0.0000 0.5000 0.5000  6 Se 2.93-2.94
5 Ag 0.5000 0.0000 0.5000  6 Se 2.93-2.95
6 Se 0.0000 0.7475 0.7566  3 Ag 2.88-2.95, 2 Dy 2.90, 1 Sm 2.94
7 Se 0.5000 0.7493 0.2473  1 Dy 2.89, 3 Ag 2.92-2.93, 2 Sm 2.93
8 Se 0.0000 0.2525 0.2433  3 Ag 2.88-2.95, 2 Dy 2.90, 1 Sm 2.94

=====

# 8
The following is a PBE-GGA calculation of a geometry-optimized SmDy2Ag3Se6 structure, from Alexandria via LeMat-Bulk.

Calculated values
As for the space group: C2/m. The value obtained for the density is 6.452 Mg/m³. The magnetic moment comes out at 0.000 μB per formula unit. The formation energy from raw total energies comes out at -1182 meV per atom. The calculation puts the density of states at the Fermi level at 0.000 states/eV/f.u.

a = 4.2298 Å, b = 9.9195 Å, c = 8.3826 Å
α = 105.24°, β = 104.61°, γ = 90.00°
Closest atoms and distances in Å follow each position.
Positions (direct):
1 Se 0.0139 0.7993 0.0277  1 Ag 2.65, 1 Dy 2.82, 2 Sm 2.95
2 Ag 0.8256 0.0416 0.6512  4 Se 2.65-2.79
3 Ag 0.1744 0.9584 0.3488  4 Se 2.65-2.79
4 Se 0.6581 0.5271 0.3162  1 Ag 2.51
5 Ag 0.5000 0.5000 0.0000  2 Se 2.51
6 Dy 0.8371 0.6627 0.6741  6 Se 2.82-2.94
7 Se 0.6877 0.1468 0.3754  3 Ag 2.71-2.79, 2 Dy 2.94, 1 Sm 3.00
8 Se 0.9861 0.2007 0.9723  1 Ag 2.65, 1 Dy 2.82, 2 Sm 2.95
9 Se 0.3123 0.8532 0.6246  3 Ag 2.71-2.79, 2 Dy 2.94, 1 Sm 3.00
10 Sm 0.5000 0.0000 0.0000  6 Se 2.95-3.00
11 Se 0.3419 0.4729 0.6838  1 Ag 2.51
12 Dy 0.1629 0.3373 0.3259  6 Se 2.82-2.94